(1)
ThCd3Pd4, relaxed, DFT PBE; magnetic moment = 0.0 Bohr magnetons per cell; space-group type = Im-3m; ΔE_f = -0.49 eV per atom; electronic total energy = -34.84 eV per formula unit; DOS(E_F) = 0.347 states/eV/atom
1.0
6.743 0.000 0.000
0.000 6.743 0.000
0.000 0.000 6.743
Th Cd Pd
2 6 8
direct
0.000 0.000 0.000
0.500 0.500 0.500
0.000 0.000 0.500
0.000 0.500 0.000
0.000 0.500 0.500
0.500 0.000 0.000
0.500 0.000 0.500
0.500 0.500 0.000
0.250 0.250 0.250
0.250 0.250 0.750
0.250 0.750 0.250
0.250 0.750 0.750
0.750 0.250 0.250
0.750 0.250 0.750
0.750 0.750 0.250
0.750 0.750 0.750

=====

(2)
LaScTl2, relaxed, DFT PBE; magnetic moment = 0.7 Bohr magnetons per cell; space-group type = Cmmm; ΔE_f = -0.26 eV per atom; electronic total energy = -17.04 eV per formula unit; DOS(E_F) = 0.926 states/eV/atom
1.0
6.885 0.000 0.000
0.000 8.963 0.000
0.000 0.000 3.581
La Sc Tl
2 2 4
direct
0.000 0.000 0.000
0.500 0.500 0.000
0.000 0.500 0.000
0.500 0.000 0.000
0.250 0.250 0.500
0.250 0.750 0.500
0.750 0.250 0.500
0.750 0.750 0.500

=====

(3)
TbCeInGa, relaxed, DFT PBE; magnetic moment = 3.7 Bohr magnetons per cell; space-group type = F-43m; ΔE_f = -0.43 eV per atom; E above lowest polymorph = 40 meV per atom; electronic total energy = -18.07 eV per formula unit; DOS(E_F) = 1.716 states/eV/atom
1.0
7.456 0.000 0.000
0.000 7.456 0.000
0.000 0.000 7.456
Tb Ce In Ga
4 4 4 4
direct
0.000 0.000 0.000
0.000 0.500 0.500
0.500 0.000 0.500
0.500 0.500 0.000
0.000 0.000 0.500
0.000 0.500 0.000
0.500 0.000 0.000
0.500 0.500 0.500
0.250 0.250 0.250
0.250 0.750 0.750
0.750 0.250 0.750
0.750 0.750 0.250
0.250 0.250 0.750
0.250 0.750 0.250
0.750 0.250 0.250
0.750 0.750 0.750

=====

(4)
LaNdRh2, relaxed, DFT PBE; magnetic moment = 0.0 Bohr magnetons per cell; space-group type = Fm-3m; ΔE_f = -0.64 eV per atom; E above lowest polymorph = 75 meV per atom; electronic total energy = -26.96 eV per formula unit; DOS(E_F) = 1.037 states/eV/atom
1.0
7.140 0.000 0.000
0.000 7.140 0.000
0.000 0.000 7.140
La Nd Rh
4 4 8
direct
0.000 0.000 0.000
0.000 0.500 0.500
0.500 0.000 0.500
0.500 0.500 0.000
0.000 0.000 0.500
0.000 0.500 0.000
0.500 0.000 0.000
0.500 0.500 0.500
0.250 0.250 0.250
0.250 0.250 0.750
0.250 0.750 0.250
0.250 0.750 0.750
0.750 0.250 0.250
0.750 0.250 0.750
0.750 0.750 0.250
0.750 0.750 0.750

=====

(5)
LiNbPCl2, relaxed, DFT PBE; magnetic moment = 1.0 Bohr magnetons per cell; space-group type = P4/mmm; E above lowest polymorph = 668 meV per atom; electronic total energy = -20.55 eV per formula unit; DOS(E_F) = 0.773 states/eV/atom; uncorrected formation energy = 106 meV per atom
1.0
4.208 0.000 0.000
0.000 4.208 0.000
0.000 0.000 5.280
Li Nb P Cl
1 1 1 2
direct
0.000 0.000 0.000
0.500 0.500 0.500
0.000 0.000 0.500
0.000 0.500 0.000
0.500 0.000 0.000

=====

(6)
CaBe2Ni2, relaxed, DFT PBE; magnetic moment = 0.0 Bohr magnetons per cell; space-group type = P4/mbm; ΔE_f = -0.06 eV per atom; E above lowest polymorph = 42 meV per atom; electronic total energy = -21.29 eV per formula unit; DOS(E_F) = 0.310 states/eV/atom
1.0
6.882 0.000 0.000
0.000 6.882 0.000
0.000 0.000 2.609
Ca Be Ni
2 4 4
direct
0.000 0.000 0.000
0.500 0.500 0.000
0.129 0.371 0.500
0.371 0.871 0.500
0.629 0.129 0.500
0.871 0.629 0.500
0.148 0.648 0.000
0.352 0.148 0.000
0.648 0.852 0.000
0.852 0.352 0.000

=====

(7)
ScUTcIr, relaxed, DFT PBE; magnetic moment = 6.7 Bohr magnetons per cell; space-group type = F-43m; ΔE_f = -0.41 eV per atom; electronic total energy = -38.49 eV per formula unit; DOS(E_F) = 2.105 states/eV/atom
1.0
6.650 0.000 0.000
0.000 6.650 0.000
0.000 0.000 6.650
Sc U Tc Ir
4 4 4 4
direct
0.000 0.000 0.000
0.000 0.500 0.500
0.500 0.000 0.500
0.500 0.500 0.000
0.000 0.000 0.500
0.000 0.500 0.000
0.500 0.000 0.000
0.500 0.500 0.500
0.250 0.250 0.250
0.250 0.750 0.750
0.750 0.250 0.750
0.750 0.750 0.250
0.250 0.250 0.750
0.250 0.750 0.250
0.750 0.250 0.250
0.750 0.750 0.750